1.
VASP calculation (PBE-GGA) on crystalline ErMoPt at its relaxed geometry.

Lattice parameters (Å, degrees): 4.5637 4.5637 4.5637 60.00 60.00 60.00
Last column: nearest neighbours and their distance in Å.
Positions (direct):
1 Pt 0.7500 0.7500 0.7500  4 Er 2.79
2 Er 0.0000 0.0000 0.0000  4 Pt 2.79, 4 Mo 2.79
3 Mo 0.2500 0.2500 0.2500  4 Er 2.79

Results
**Energy relative to the elements**: 1.91 eV per formula unit
**E_tot**: -6.52 eV/atom
**Magnetic moment**: 2.99 μB per formula unit
**Symmetry**: F-43m, No. 216

2.
VASP calculation (PBE-GGA) on crystalline Tb2TmIn3Ni2Ag at its relaxed geometry.

Lattice parameters (Å, degrees): 3.8787 7.5499 7.5499 119.92 90.00 90.00
Last column: nearest neighbours and their distance in Å.
Positions (direct):
1 Ni 0.5000 0.6655 0.3354  3 In 2.76-2.81, 2 Tm 2.98, 4 Tb 3.00-3.01
2 In 0.5000 0.2730 0.2730  2 Ni 2.76, 2 Ag 2.84, 2 Tm 3.07
3 Tb 0.0000 0.0010 0.4126  4 Ni 3.00-3.01, 4 In 3.08-3.35, 1 Ag 3.12
4 Tm 0.0000 0.5879 0.5879  4 Ni 2.98, 2 In 3.07, 1 Ag 3.10
5 In 0.5000 0.7278 0.9982  2 Ni 2.77-2.81, 2 Ag 2.82, 2 Tb 3.08
6 Tb 0.0000 0.4126 0.0010  4 Ni 3.00-3.01, 4 In 3.08-3.35, 1 Ag 3.12
7 Ni 0.5000 0.3354 0.6655  3 In 2.76-2.81, 2 Tm 2.98, 4 Tb 3.00-3.01
8 In 0.5000 0.9982 0.7278  2 Ni 2.77-2.81, 2 Ag 2.82, 2 Tb 3.08
9 Ag 0.0000 0.9986 0.9986  6 In 2.82-2.84, 1 Tm 3.10, 2 Tb 3.12

Results
**E_tot**: -4.45 eV/atom
**Magnetic moment**: 0.00 μB per formula unit
**Symmetry**: Amm2, No. 38

3.
VASP calculation (PBE-GGA) on crystalline Cu2Ag3 at its relaxed geometry.

Lattice parameters (Å, degrees): 4.8098 4.8818 7.3610 72.20 72.49 80.58
Last column: nearest neighbours and their distance in Å.
Positions (direct):
1 Ag 0.7539 0.8388 0.5513  5 Cu 2.75-2.94, 7 Ag 2.76-2.87
2 Ag 0.7346 0.2594 0.7519  6 Cu 2.70-2.94, 6 Ag 2.76-2.88
3 Ag 0.7507 0.0648 0.1476  6 Cu 2.72-2.87, 6 Ag 2.79-2.88
4 Ag 0.2654 0.7406 0.2481  6 Cu 2.70-2.94, 6 Ag 2.76-2.88
5 Ag 0.2493 0.9352 0.8524  6 Cu 2.72-2.87, 6 Ag 2.79-2.88
6 Cu 0.7572 0.4566 0.3406  3 Cu 2.69-2.93, 9 Ag 2.70-2.94
7 Cu 0.7621 0.6389 0.9559  4 Cu 2.62-2.87, 7 Ag 2.73-2.85
8 Cu 0.2428 0.5434 0.6594  3 Cu 2.69-2.93, 9 Ag 2.70-2.94
9 Cu 0.2379 0.3611 0.0441  4 Cu 2.62-2.87, 7 Ag 2.73-2.85
10 Ag 0.2461 0.1612 0.4487  5 Cu 2.75-2.94, 7 Ag 2.76-2.87

Results
**Energy relative to the elements**: 0.47 eV per formula unit
**E_tot**: -3.09 eV/atom
**Symmetry**: P-1, No. 2

4.
VASP calculation (PBE-GGA) on crystalline YCuNiGe2 at its relaxed geometry.

Lattice parameters (Å, degrees): 5.8055 5.8055 5.8055 139.23 139.23 59.02
Last column: nearest neighbours and their distance in Å.
Positions (direct):
1 Ge 0.3729 0.8729 0.5000  2 Ni 2.40, 2 Cu 2.40, 1 Ge 2.48
2 Ni 0.5000 0.5000 0.0000  4 Ge 2.40
3 Ge 0.1271 0.6271 0.5000  2 Cu 2.40, 2 Ni 2.40, 1 Ge 2.48
4 Cu 0.0000 0.0000 0.0000  4 Ge 2.40
5 Y 0.7500 0.2500 0.5000  8 Ge 3.12, 4 Ni 3.24, 4 Cu 3.24

Results
**E_tot**: -5.60 eV/atom
**Magnetic moment**: 0.00 μB per formula unit
**Symmetry**: I-4m2, No. 119

5.
VASP calculation (PBE-GGA) on crystalline BeFe2As at its relaxed geometry.

Lattice parameters (Å, degrees): 4.0018 4.0018 4.0018 60.00 60.00 60.00
Last column: nearest neighbours and their distance in Å.
Positions (direct):
1 Be 0.2500 0.2500 0.2500  4 As 2.45, 4 Fe 2.45
2 As 0.5000 0.5000 0.5000  4 Fe 2.45, 4 Be 2.45
3 Fe 0.0000 0.0000 0.0000  4 Fe 2.45, 4 Be 2.45
4 Fe 0.7500 0.7500 0.7500  4 Fe 2.45, 4 As 2.45

Results
**E_tot**: -6.13 eV/atom
**Magnetic moment**: 4.00 μB per formula unit
**Symmetry**: F-43m, No. 216

6.
VASP calculation (PBE-GGA) on crystalline ScAgF3 at its relaxed geometry.

Lattice parameters (Å, degrees): 5.8069 5.8069 5.8069 60.38 60.38 60.38
Last column: nearest neighbours and their distance in Å.
Positions (direct):
1 Ag 0.2500 0.2500 0.2500  12 F 2.89-2.95
2 F 0.7446 0.2500 0.7554  2 Sc 2.06
3 F 0.7554 0.7446 0.2500  2 Sc 2.06
4 Sc 0.5000 0.5000 0.5000  6 F 2.06
5 F 0.7500 0.2446 0.2554  2 Sc 2.06
6 F 0.2554 0.7500 0.2446  2 Sc 2.06
7 F 0.2500 0.7554 0.7446  2 Sc 2.06
8 Ag 0.7500 0.7500 0.7500  12 F 2.89-2.95
9 Sc 0.0000 0.0000 0.0000  6 F 2.06
10 F 0.2446 0.2554 0.7500  2 Sc 2.06

Results
**E_tot**: -5.54 eV/atom
**Magnetic moment**: 0.14 μB per formula unit
**Symmetry**: R-3c, No. 167

7.
VASP calculation (PBE-GGA) on crystalline Pm2Sn2O5 at its relaxed geometry.

Lattice parameters (Å, degrees): 9.8541 3.7820 3.7820 90.00 90.00 90.00
Last column: nearest neighbours and their distance in Å.
Positions (direct):
1 Sn 0.5000 0.0000 0.0000  4 O 2.67
2 O 0.5000 0.5000 0.5000  2 Pm 2.41, 4 Sn 2.67
3 Pm 0.2550 0.5000 0.5000  5 O 2.27-2.41
4 Sn 0.0000 0.0000 0.0000  8 O 2.27
5 O 0.8720 0.0000 0.5000  2 Pm 2.27, 2 Sn 2.27, 1 O 2.52
6 O 0.8720 0.5000 0.0000  2 Pm 2.27, 2 Sn 2.27, 1 O 2.52
7 O 0.1280 0.5000 0.0000  2 Pm 2.27, 2 Sn 2.27, 1 O 2.52
8 O 0.1280 0.0000 0.5000  2 Pm 2.27, 2 Sn 2.27, 1 O 2.52
9 Pm 0.7450 0.5000 0.5000  5 O 2.27-2.41

Results
**E_tot**: -6.77 eV/atom
**Magnetic moment**: 0.00 μB per formula unit
**Symmetry**: P4/mmm, No. 123

8.
VASP calculation (PBE-GGA) on crystalline GdTmFe2I2 at its relaxed geometry.

Lattice parameters (Å, degrees): 3.9361 3.9361 11.7106 90.00 90.00 120.00
Last column: nearest neighbours and their distance in Å.
Positions (direct):
1 I 0.6667 0.3333 0.8512  3 Gd 3.16
2 Tm 0.0000 0.0000 0.3365  6 Fe 2.93-2.96, 3 I 3.11
3 Fe 0.6667 0.3333 0.4942  3 Fe 2.27
4 Gd 0.0000 0.0000 0.6643  6 Fe 2.98-3.02, 3 I 3.16
5 I 0.3333 0.6667 0.1549  3 Tm 3.11
6 Fe 0.3333 0.6667 0.4990  3 Fe 2.27

Results
**E_tot**: -5.50 eV/atom
**Magnetic moment**: 2.12 μB per formula unit
**Symmetry**: P3m1, No. 156

9.
VASP calculation (PBE-GGA) on crystalline Nd2Ho2CI2Br3 at its relaxed geometry.

Lattice parameters (Å, degrees): 9.3693 9.3693 8.3446 102.01 102.01 24.06
Last column: nearest neighbours and their distance in Å.
Positions (direct):
1 Ho 0.9981 0.9981 0.1959  2 C 2.55
2 I 0.8359 0.8359 0.6354  1 Ho 3.07, 2 Nd 3.11
3 C 0.5000 0.5000 0.0000  2 Nd 2.52, 4 Ho 2.55
4 Nd 0.6406 0.6406 0.0674  1 C 2.52
5 I 0.1641 0.1641 0.3646  1 Ho 3.07, 2 Nd 3.11
6 Br 0.5000 0.5000 0.5000  4 Ho 3.20
7 Br 0.1646 0.1646 0.8125  1 Ho 2.97, 2 Nd 2.99
8 Br 0.8354 0.8354 0.1875  1 Ho 2.97, 2 Nd 2.99
9 Nd 0.3594 0.3594 0.9326  1 C 2.52
10 Ho 0.0019 0.0019 0.8041  2 C 2.55

Results
**E_tot**: -4.87 eV/atom
**Magnetic moment**: 0.04 μB per formula unit
**Symmetry**: C2/m, No. 12

10.
VASP calculation (PBE-GGA) on crystalline SnPtNO at its relaxed geometry.

Lattice parameters (Å, degrees): 3.9628 3.9628 8.4517 90.00 90.00 90.00
Last column: nearest neighbours and their distance in Å.
Positions (direct):
1 O 0.7500 0.2500 0.0000  4 Sn 2.28
2 Sn 0.7500 0.7500 0.8668  4 O 2.28
3 N 0.7500 0.7500 0.4122  4 Pt 2.12
4 O 0.2500 0.7500 0.0000  4 Sn 2.28
5 N 0.2500 0.2500 0.5878  4 Pt 2.12
6 Pt 0.2500 0.7500 0.5000  4 N 2.12
7 Sn 0.2500 0.2500 0.1332  4 O 2.28
8 Pt 0.7500 0.2500 0.5000  4 N 2.12

Results
**E_tot**: -5.75 eV/atom
**Magnetic moment**: 0.00 μB per formula unit
**Symmetry**: P4/nmm, No. 129

11.
VASP calculation (PBE-GGA) on crystalline Dy2YCo9 at its relaxed geometry.

Lattice parameters (Å, degrees): 8.5723 8.5723 8.5723 33.59 33.59 33.59
Last column: nearest neighbours and their distance in Å.
Positions (direct):
1 Co 0.3348 0.3348 0.3348  6 Co 2.41-2.45
2 Co 0.9214 0.4176 0.4176  7 Co 2.41-2.53
3 Co 0.5000 0.5000 0.5000  6 Co 2.53
4 Co 0.5824 0.0786 0.5824  7 Co 2.41-2.53
5 Co 0.6652 0.6652 0.6652  6 Co 2.41-2.45
6 Dy 0.8602 0.8602 0.8602  12 Co 2.86-3.07, 3 Dy 3.14
7 Co 0.4176 0.9214 0.4176  7 Co 2.41-2.53
8 Co 0.0786 0.5824 0.5824  7 Co 2.41-2.53
9 Co 0.4176 0.4176 0.9214  7 Co 2.41-2.53
10 Co 0.5824 0.5824 0.0786  7 Co 2.41-2.53
11 Y 0.0000 0.0000 0.0000  18 Co 2.86-3.16
12 Dy 0.1398 0.1398 0.1398  12 Co 2.86-3.07, 3 Dy 3.14

Results
**Energy relative to the elements**: -2.05 eV per formula unit
**E_tot**: -6.81 eV/atom
**Magnetic moment**: 10.47 μB per formula unit
**Symmetry**: R-3m, No. 166

12.
VASP calculation (PBE-GGA) on crystalline Ni21B6Sb2 at its relaxed geometry.

Lattice parameters (Å, degrees): 7.5040 7.5040 7.5040 60.00 60.00 60.00
Last column: nearest neighbours and their distance in Å.
Positions (direct):
1 Ni 0.8359 0.5000 0.5000  2 B 2.09
2 B 0.2284 0.7716 0.7716  8 Ni 2.09-2.11
3 Ni 0.8845 0.8845 0.3464  3 B 2.11
4 Ni 0.8359 0.5000 0.1641  2 B 2.09
5 B 0.7716 0.2284 0.7716  8 Ni 2.09-2.11
6 Ni 0.6536 0.1155 0.1155  3 B 2.11
7 Ni 0.5000 0.5000 0.5000  12 Ni 2.52
8 Ni 0.5000 0.1641 0.5000  2 B 2.09
9 Ni 0.8845 0.3464 0.8845  3 B 2.11
10 Ni 0.5000 0.8359 0.1641  2 B 2.09
11 Ni 0.1155 0.6536 0.1155  3 B 2.11
12 Ni 0.1641 0.5000 0.5000  2 B 2.09
13 Ni 0.1641 0.5000 0.8359  2 B 2.09
14 B 0.2284 0.2284 0.7716  8 Ni 2.09-2.11
15 B 0.7716 0.7716 0.2284  8 Ni 2.09-2.11
16 Ni 0.5000 0.1641 0.8359  2 B 2.09
17 Ni 0.5000 0.5000 0.1641  2 B 2.09
18 B 0.2284 0.7716 0.2284  8 Ni 2.09-2.11
19 Sb 0.7500 0.7500 0.7500  4 Ni 2.47
20 Ni 0.5000 0.5000 0.8359  2 B 2.09
21 Ni 0.1641 0.8359 0.5000  2 B 2.09
22 Ni 0.8359 0.1641 0.5000  2 B 2.09
23 Ni 0.1155 0.1155 0.6536  3 B 2.11
24 Sb 0.2500 0.2500 0.2500  4 Ni 2.47
25 B 0.7716 0.2284 0.2284  8 Ni 2.09-2.11
26 Ni 0.1155 0.1155 0.1155  3 B 2.11
27 Ni 0.5000 0.8359 0.5000  2 B 2.09
28 Ni 0.8845 0.8845 0.8845  3 B 2.11
29 Ni 0.3464 0.8845 0.8845  3 B 2.11

Results
**E_tot**: -5.97 eV/atom
**Magnetic moment**: 0.99 μB per formula unit
**Symmetry**: Fm-3m, No. 225

13.
VASP calculation (PBE-GGA) on crystalline LiSb5Ir3 at its relaxed geometry.

Lattice parameters (Å, degrees): 5.6473 5.6473 8.1204 90.00 90.00 120.00
Last column: nearest neighbours and their distance in Å.
Positions (direct):
1 Ir 0.5000 0.5000 0.5000  6 Sb 2.75-2.82, 4 Ir 2.82
2 Sb 0.6667 0.3333 0.7725  3 Ir 2.75
3 Sb 0.0000 0.0000 0.5000  6 Ir 2.82
4 Sb 0.3333 0.6667 0.7725  3 Ir 2.75
5 Ir 0.5000 0.0000 0.5000  6 Sb 2.75-2.82, 4 Ir 2.82
6 Ir 0.0000 0.5000 0.5000  6 Sb 2.75-2.82, 4 Ir 2.82
7 Sb 0.6667 0.3333 0.2275  3 Ir 2.75
8 Sb 0.3333 0.6667 0.2275  3 Ir 2.75
9 Li 0.0000 0.0000 0.0000  14 Sb 3.75-4.06

Results
**E_tot**: -5.45 eV/atom
**Magnetic moment**: 0.00 μB per formula unit
**Symmetry**: P6/mmm, No. 191

14.
VASP calculation (PBE-GGA) on crystalline RbSiTc at its relaxed geometry.

Lattice parameters (Å, degrees): 5.0992 5.0992 5.0992 60.00 60.00 60.00
Last column: nearest neighbours and their distance in Å.
Positions (direct):
1 Tc 0.7500 0.7500 0.7500  4 Rb 3.12
2 Si 0.2500 0.2500 0.2500  4 Rb 3.12
3 Rb 0.0000 0.0000 0.0000  4 Si 3.12, 4 Tc 3.12

Results
**E_tot**: -3.21 eV/atom
**Magnetic moment**: 3.49 μB per formula unit
**Symmetry**: F-43m, No. 216

15.
VASP calculation (PBE-GGA) on crystalline CdCl2 at its relaxed geometry.

Lattice parameters (Å, degrees): 4.0964 4.0964 5.0092 90.00 90.00 90.00
Last column: nearest neighbours and their distance in Å.
Positions (direct):
1 Cd 0.5000 0.5000 0.0000  4 Cl 2.50
2 Cl 0.5000 0.0000 0.7145  2 Cd 2.50
3 Cl 0.0000 0.5000 0.2855  2 Cd 2.50

Results
**E_tot**: -2.55 eV/atom
**Symmetry**: P-4m2, No. 115

16.
VASP calculation (PBE-GGA) on crystalline Hf2Zr4Bi3N3 at its relaxed geometry.

Lattice parameters (Å, degrees): 6.0475 6.0475 14.1743 102.27 102.27 60.12
Last column: nearest neighbours and their distance in Å.
Positions (direct):
1 Hf 0.3519 0.5265 0.0789  3 N 2.22-2.25
2 Zr 0.6937 0.8685 0.0819  3 N 2.33-2.36
3 Zr 0.8134 0.9653 0.4180  3 N 2.33-2.36
4 Bi 0.4173 0.2527 0.2515  4 Zr 3.07-3.09, 2 Hf 3.09-3.10
5 N 0.8109 0.3446 0.5000  2 Hf 2.22-2.23, 4 Zr 2.33-2.36
6 Zr 0.3063 0.1315 0.9181  3 N 2.33-2.36
7 Bi 0.7473 0.5827 0.2485  4 Zr 3.07-3.09, 2 Hf 3.09-3.10
8 Bi 0.0856 0.9144 0.2500  4 Zr 3.05-3.06, 2 Hf 3.08
9 Bi 0.2527 0.4173 0.7515  4 Zr 3.07-3.09, 2 Hf 3.09-3.10
10 Hf 0.4735 0.6481 0.4211  3 N 2.22-2.25
11 N 0.6554 0.1891 0.0000  2 Hf 2.22-2.23, 4 Zr 2.33-2.36
12 Bi 0.5827 0.7473 0.7485  4 Zr 3.07-3.09, 2 Hf 3.09-3.10
13 N 0.3446 0.8109 0.0000  2 Hf 2.22-2.23, 4 Zr 2.33-2.36
14 N 0.0000 0.5000 0.0000  2 Hf 2.25, 4 Zr 2.33
15 Zr 0.0347 0.1866 0.0820  3 N 2.33-2.36
16 Zr 0.9653 0.8134 0.9180  3 N 2.33-2.36
17 Zr 0.8685 0.6937 0.5819  3 N 2.33-2.36
18 Zr 0.1866 0.0347 0.5820  3 N 2.33-2.36
19 Zr 0.1315 0.3063 0.4181  3 N 2.33-2.36
20 Hf 0.5265 0.3519 0.5789  3 N 2.22-2.25
21 Hf 0.6481 0.4735 0.9211  3 N 2.22-2.25
22 N 0.5000 0.0000 0.5000  2 Hf 2.25, 4 Zr 2.33
23 Bi 0.9144 0.0856 0.7500  4 Zr 3.05-3.06, 2 Hf 3.08
24 N 0.1891 0.6554 0.5000  2 Hf 2.22-2.23, 4 Zr 2.33-2.36

Results
**E_tot**: -8.51 eV/atom
**Magnetic moment**: 0.00 μB per formula unit
**Symmetry**: C2/c, No. 15

17.
VASP calculation (PBE-GGA) on crystalline RbDy2CuSe4 at its relaxed geometry.

Lattice parameters (Å, degrees): 7.4453 7.4453 14.4089 90.00 90.00 147.76
Last column: nearest neighbours and their distance in Å.
Positions (direct):
1 Cu 0.3366 0.6634 0.7500  4 Se 2.46-2.47
2 Se 0.2379 0.7621 0.8908  1 Cu 2.47
3 Se 0.0700 0.9300 0.2500  2 Cu 2.46
4 Se 0.5000 0.5000 0.5000  4 Dy 2.97
5 Se 0.2379 0.7621 0.6092  1 Cu 2.47
6 Dy 0.1341 0.8659 0.0637  6 Se 2.84-2.97
7 Se 0.5000 0.5000 0.0000  4 Dy 2.97
8 Se 0.7621 0.2379 0.3908  1 Cu 2.47
9 Rb 0.6102 0.3898 0.7500  6 Se 3.30-3.42
10 Se 0.7621 0.2379 0.1092  1 Cu 2.47
11 Dy 0.8659 0.1341 0.5637  6 Se 2.84-2.97
12 Dy 0.8659 0.1341 0.9363  6 Se 2.84-2.97
13 Rb 0.3898 0.6102 0.2500  6 Se 3.30-3.42
14 Dy 0.1341 0.8659 0.4363  6 Se 2.84-2.97
15 Se 0.9300 0.0700 0.7500  2 Cu 2.46
16 Cu 0.6634 0.3366 0.2500  4 Se 2.46-2.47

Results
**E_tot**: -4.98 eV/atom
**Magnetic moment**: 0.00 μB per formula unit
**Symmetry**: Cmcm, No. 63

18.
VASP calculation (PBE-GGA) on crystalline Tb3Mg3GaIrPt at its relaxed geometry.

Lattice parameters (Å, degrees): 7.5133 7.5133 4.0199 90.00 90.00 120.00
Last column: nearest neighbours and their distance in Å.
Positions (direct):
1 Tb 0.6882 0.7528 0.5000  2 Ir 2.94, 1 Pt 3.07, 2 Ga 3.14
2 Mg 0.9134 0.5760 0.0000  2 Pt 2.72, 1 Ga 2.88, 1 Ir 2.91
3 Ir 0.0000 0.0000 0.0000  3 Mg 2.91, 6 Tb 2.94
4 Mg 0.4240 0.3373 0.0000  2 Pt 2.72, 1 Ga 2.88, 1 Ir 2.91
5 Ga 0.3333 0.6667 0.0000  3 Mg 2.88, 6 Tb 3.14
6 Pt 0.6667 0.3333 0.5000  6 Mg 2.72
7 Tb 0.2472 0.9355 0.5000  2 Ir 2.94, 1 Pt 3.07, 2 Ga 3.14
8 Tb 0.0645 0.3118 0.5000  2 Ir 2.94, 1 Pt 3.07, 2 Ga 3.14
9 Mg 0.6627 0.0866 0.0000  2 Pt 2.72, 1 Ga 2.88, 1 Ir 2.91

Results
**E_tot**: -4.76 eV/atom
**Magnetic moment**: 0.01 μB per formula unit
**Symmetry**: P-6, No. 174

19.
VASP calculation (PBE-GGA) on crystalline LuTlFe at its relaxed geometry.

Lattice parameters (Å, degrees): 4.7745 4.7745 4.7745 60.00 60.00 60.00
Last column: nearest neighbours and their distance in Å.
Positions (direct):
1 Fe 0.2500 0.2500 0.2500  4 Lu 2.92
2 Lu 0.0000 0.0000 0.0000  4 Fe 2.92, 4 Tl 2.92
3 Tl 0.7500 0.7500 0.7500  4 Lu 2.92

Results
**E_tot**: -4.29 eV/atom
**Magnetic moment**: 2.18 μB per formula unit
**Symmetry**: F-43m, No. 216

20.
VASP calculation (PBE-GGA) on crystalline MgTaBOs at its relaxed geometry.

Lattice parameters (Å, degrees): 4.3045 4.3045 4.3045 60.00 60.00 60.00
Last column: nearest neighbours and their distance in Å.
Positions (direct):
1 Ta 0.2500 0.2500 0.2500  4 B 2.64, 4 Os 2.64
2 B 0.5000 0.5000 0.5000  4 Ta 2.64, 4 Mg 2.64
3 Mg 0.7500 0.7500 0.7500  4 B 2.64, 4 Os 2.64
4 Os 0.0000 0.0000 0.0000  4 Mg 2.64, 4 Ta 2.64

Results
**E_tot**: -7.48 eV/atom
**Magnetic moment**: 0.00 μB per formula unit
**Symmetry**: F-43m, No. 216